Computed, not measured: MgCd3 after structural relaxation at the PBE level of DFT.

The value obtained for the total energy is -1.07 eV/atom. The value obtained for the mass density is 6.41 Mg/m³. The value obtained for the energy relative to the elements is 0.02 eV/atom. The calculation puts the relative energy among the computed polymorphs at 86 meV/atom. Its density of states at the Fermi level is 4.49 states/eV per cell.

abc: 4.9714 4.9714 8.7516
angles: 90.00 90.00 120.00
Space group P6_3/mmc (No. 194)
Unique sites:
Mg 0.3333 0.6667 0.2500
Cd 0.0000 0.0000 0.2500
Cd 0.3333 0.6667 0.5797